## BaCrAs (PBEsol)

Data for crystalline BaCrAs at its relaxed geometry.

Lattice parameters (Å, degrees): 4.400 4.400 4.793 90.00 90.00 120.00
Positions (direct):
Ba (0.000, 0.000, 0.000)
Cr (0.333, 0.667, 0.500)
As (0.667, 0.333, 0.500)

## Properties
* energy: -18.36 eV per formula unit
* total moment: 4.33 μB per formula unit
* crystal system: hexagonal
* symmetry: P-6m2
* E_form: -288 meV per atom

***

## ScMnAg2 (PBEsol)

Data for crystalline ScMnAg2 at its relaxed geometry.

Lattice parameters (Å, degrees): 3.338 3.338 6.081 90.00 90.00 90.00
Positions (direct):
Sc (0.000, 0.000, 0.000)
Mn (0.500, 0.500, 0.740)
Ag (0.000, 0.000, 0.516)
Ag (0.500, 0.500, 0.267)

## Properties
* energy: -22.82 eV per formula unit
* total moment: 2.96 μB per formula unit
* distance to the lowest polymorph of the same formula: 0.000 eV per atom
* crystal system: tetragonal
* symmetry: P4mm
* E_form: 42 meV per atom

***

## BeAsSe2I (PBEsol)

Data for crystalline BeAsSe2I at its relaxed geometry.

Lattice parameters (Å, degrees): 5.311 5.311 5.261 90.00 90.00 90.00
Positions (direct):
Be (0.000, 0.000, 0.000)
As (0.500, 0.500, 0.000)
Se (0.000, 0.500, 0.500)
Se (0.500, 0.000, 0.500)
I (0.500, 0.500, 0.500)

## Properties
* energy: -11.26 eV per formula unit
* ΔE_f (raw): 1.4625 eV per atom
* total moment: 0.00 μB per formula unit
* crystal system: tetragonal
* symmetry: P4/mmm

***

## Ca3ZnN (PBEsol)

Data for crystalline Ca3ZnN at its relaxed geometry.

Lattice parameters (Å, degrees): 4.830 4.830 4.830 90.00 90.00 90.00
Positions (direct):
Ca (0.000, 0.000, 0.500)
Ca (0.000, 0.500, 0.000)
Ca (0.500, 0.000, 0.000)
Zn (0.500, 0.500, 0.500)
N (0.000, 0.000, 0.000)

## Properties
* energy: -19.27 eV per formula unit
* ΔE_f (raw): -0.5522 eV per atom
* total moment: 0.00 μB per formula unit
* crystal system: cubic
* symmetry: Pm-3m

***

## Ba5Lu2ZrAl2O13 (PBEsol)

Data for crystalline Ba5Lu2ZrAl2O13 at its relaxed geometry.

Lattice parameters (Å, degrees): 5.900 5.900 24.708 90.00 90.00 120.00
Positions (direct):
Ba (0.000, 0.000, 0.138)
Ba (0.000, 0.000, 0.362)
Ba (0.000, 0.000, 0.638)
Ba (0.000, 0.000, 0.862)
Ba (0.333, 0.667, 0.042)
Ba (0.333, 0.667, 0.458)
Ba (0.333, 0.667, 0.750)
Ba (0.667, 0.333, 0.250)
Ba (0.667, 0.333, 0.542)
Ba (0.667, 0.333, 0.958)
Lu (0.333, 0.667, 0.603)
Lu (0.333, 0.667, 0.897)
Lu (0.667, 0.333, 0.103)
Lu (0.667, 0.333, 0.397)
Zr (0.000, 0.000, 0.000)
Zr (0.000, 0.000, 0.500)
Al (0.333, 0.667, 0.180)
Al (0.333, 0.667, 0.320)
Al (0.667, 0.333, 0.680)
Al (0.667, 0.333, 0.820)
O (0.006, 0.503, 0.157)
O (0.006, 0.503, 0.343)
O (0.164, 0.328, 0.551)
O (0.164, 0.328, 0.949)
O (0.164, 0.836, 0.551)
O (0.164, 0.836, 0.949)
O (0.328, 0.164, 0.051)
O (0.328, 0.164, 0.449)
O (0.333, 0.667, 0.250)
O (0.497, 0.503, 0.157)
O (0.497, 0.503, 0.343)
O (0.497, 0.994, 0.157)
O (0.497, 0.994, 0.343)
O (0.503, 0.006, 0.657)
O (0.503, 0.006, 0.843)
O (0.503, 0.497, 0.657)
O (0.503, 0.497, 0.843)
O (0.667, 0.333, 0.750)
O (0.672, 0.836, 0.551)
O (0.672, 0.836, 0.949)
O (0.836, 0.164, 0.051)
O (0.836, 0.164, 0.449)
O (0.836, 0.672, 0.051)
O (0.836, 0.672, 0.449)
O (0.994, 0.497, 0.657)
O (0.994, 0.497, 0.843)

## Properties
* energy: -179.02 eV per formula unit
* ΔE_f (raw): -3.1745 eV per atom
* total moment: 0.00 μB per formula unit
* crystal system: hexagonal
* symmetry: P6_3/mmc

***

## MgBrCl (PBEsol)

Data for crystalline MgBrCl at its relaxed geometry.

Lattice parameters (Å, degrees): 3.723 3.723 6.374 90.00 90.00 120.00
Positions (direct):
Mg (0.000, 0.000, 0.000)
Br (0.333, 0.667, 0.758)
Cl (0.667, 0.333, 0.208)

## Properties
* energy: -10.60 eV per formula unit
* ΔE_f (raw): -1.6683 eV per atom
* total moment: 0.00 μB per formula unit
* distance to the lowest polymorph of the same formula: 0.000 eV per atom
* crystal system: trigonal
* symmetry: P3m1

***

## TbTe (PBEsol)

Data for crystalline TbTe at its relaxed geometry.

Lattice parameters (Å, degrees): 4.303 4.303 4.303 60.00 60.00 60.00
Positions (direct):
Tb (0.000, 0.000, 0.000)
Te (0.500, 0.500, 0.500)

## Properties
* energy: -11.25 eV per formula unit
* ΔE_f (raw): -1.3549 eV per atom
* total moment: 0.00 μB per formula unit
* crystal system: cubic
* symmetry: Fm-3m

***

## Os2RuPb (PBEsol)

Data for crystalline Os2RuPb at its relaxed geometry.

Lattice parameters (Å, degrees): 2.793 3.748 6.269 90.00 90.00 90.00
Positions (direct):
Os (0.000, 0.000, 0.205)
Os (0.000, 0.000, 0.795)
Ru (0.500, 0.500, 0.000)
Pb (0.500, 0.500, 0.500)

## Properties
* energy: -35.41 eV per formula unit
* total moment: 0.00 μB per formula unit
* crystal system: orthorhombic
* symmetry: Pmmm
* E_form: 799 meV per atom

***

## TlPtBr (PBEsol)

Data for crystalline TlPtBr at its relaxed geometry.

Lattice parameters (Å, degrees): 4.016 4.016 5.197 90.00 90.00 120.00
Positions (direct):
Tl (0.000, 0.000, 0.000)
Pt (0.667, 0.333, 0.250)
Br (0.333, 0.667, 0.533)

## Properties
* energy: -11.26 eV per formula unit
* ΔE_f (raw): 0.0672 eV per atom
* total moment: 0.00 μB per formula unit
* distance to the lowest polymorph of the same formula: 0.000 eV per atom
* crystal system: trigonal
* symmetry: P3m1

***

## Fe4TcOs (PBEsol)

Data for crystalline Fe4TcOs at its relaxed geometry.

Lattice parameters (Å, degrees): 4.588 4.588 4.588 60.00 60.00 60.00
Positions (direct):
Fe (0.125, 0.125, 0.125)
Fe (0.125, 0.125, 0.624)
Fe (0.125, 0.624, 0.125)
Fe (0.624, 0.125, 0.125)
Tc (0.750, 0.750, 0.750)
Os (0.500, 0.500, 0.500)

## Properties
* energy: -59.26 eV per formula unit
* total moment: 5.24 μB per formula unit
* crystal system: cubic
* symmetry: F-43m
* E_form: 13 meV per atom

***

## BaTe2Ru2 (PBEsol)

Data for crystalline BaTe2Ru2 at its relaxed geometry.

Lattice parameters (Å, degrees): 7.217 7.217 7.217 145.50 145.50 49.59
Positions (direct):
Ba (0.000, 0.000, 0.000)
Te (0.359, 0.359, 0.000)
Te (0.641, 0.641, 0.000)
Ru (0.250, 0.750, 0.500)
Ru (0.750, 0.250, 0.500)

## Properties
* energy: -31.83 eV per formula unit
* ΔE_f (raw): -0.4569 eV per atom
* total moment: 0.00 μB per formula unit
* crystal system: tetragonal
* symmetry: I4/mmm

***

## TiHg3Br (PBEsol)

Data for crystalline TiHg3Br at its relaxed geometry.

Lattice parameters (Å, degrees): 5.360 5.360 5.360 90.00 90.00 90.00
Positions (direct):
Ti (0.000, 0.000, 0.000)
Hg (0.000, 0.000, 0.500)
Hg (0.000, 0.500, 0.000)
Hg (0.500, 0.000, 0.000)
Br (0.500, 0.500, 0.500)

## Properties
* energy: -9.98 eV per formula unit
* ΔE_f (raw): 0.3816 eV per atom
* total moment: 2.24 μB per formula unit
* crystal system: cubic
* symmetry: Pm-3m